CsZrFeO2 | PBE with a Hubbard U | optimized geometry

Results
Final energy (eV per cell): -27.23
DOS at the Fermi energy (states/eV per cell): 2.9

Unit cell a=4.279 b=4.279 c=6.962 alpha=90.00 beta=90.00 gamma=90.00
Space group P4/mmm (No. 123)
Unique sites:
Cs1 0.000 0.000 0.000 (multiplicity 1)
Zr1 0.000 0.000 0.500 (multiplicity 1)
Fe1 0.500 0.500 0.000 (multiplicity 1)
O1 0.000 0.500 0.500 (multiplicity 2)